Compound: NdPuInPb
Source: the Alexandria database
Functional: PBE
Structure: relaxed

a = 7.7540 Å, b = 7.7540 Å, c = 7.7540 Å
α = 90.00°, β = 90.00°, γ = 90.00°
Closest atoms and distances in Å follow each position.
Atoms (fractional coordinates):
Nd (0.0000, 0.0000, 0.0000)  4 In 3.36, 4 Pb 3.36
Nd (0.0000, 0.5000, 0.5000)  4 In 3.36, 4 Pb 3.36
Nd (0.5000, 0.0000, 0.5000)  4 In 3.36, 4 Pb 3.36
Nd (0.5000, 0.5000, 0.0000)  4 In 3.36, 4 Pb 3.36
Pu (0.0000, 0.0000, 0.5000)  4 Pb 3.36, 4 In 3.36
Pu (0.0000, 0.5000, 0.0000)  4 Pb 3.36, 4 In 3.36
Pu (0.5000, 0.0000, 0.0000)  4 Pb 3.36, 4 In 3.36
Pu (0.5000, 0.5000, 0.5000)  4 In 3.36, 4 Pb 3.36
In (0.2500, 0.2500, 0.2500)  4 Nd 3.36, 4 Pu 3.36
In (0.2500, 0.7500, 0.7500)  4 Nd 3.36, 4 Pu 3.36
In (0.7500, 0.2500, 0.7500)  4 Nd 3.36, 4 Pu 3.36
In (0.7500, 0.7500, 0.2500)  4 Nd 3.36, 4 Pu 3.36
Pb (0.2500, 0.2500, 0.7500)  4 Nd 3.36, 4 Pu 3.36
Pb (0.2500, 0.7500, 0.2500)  4 Nd 3.36, 4 Pu 3.36
Pb (0.7500, 0.2500, 0.2500)  4 Nd 3.36, 4 Pu 3.36
Pb (0.7500, 0.7500, 0.7500)  4 Nd 3.36, 4 Pu 3.36

Results
- Energy of formation from the pure elements: -0.257 eV per atom
- Crystal system: cubic

Compound: TaFe2B2
Source: the Alexandria database
Functional: PBE
Structure: relaxed

a = 3.7714 Å, b = 3.0278 Å, c = 8.7763 Å
α = 90.00°, β = 95.73°, γ = 90.00°
Closest atoms and distances in Å follow each position.
Atoms (fractional coordinates):
Ta (0.1905, 0.2500, 0.2454)  7 B 2.48-2.55, 6 Fe 2.68-2.74
Ta (0.8095, 0.7500, 0.7546)  7 B 2.48-2.55, 6 Fe 2.68-2.74
Fe (0.2501, 0.7500, 0.4984)  2 B 2.09
Fe (0.3464, 0.2500, 0.9003)  5 B 2.00-2.07
Fe (0.6536, 0.7500, 0.0997)  5 B 2.00-2.07
Fe (0.7499, 0.2500, 0.5016)  2 B 2.09
B (0.1325, 0.7500, 0.0200)  2 B 1.83, 2 Fe 2.00-2.02
B (0.2871, 0.2500, 0.6636)  3 Fe 2.07-2.09
B (0.7129, 0.7500, 0.3364)  3 Fe 2.07-2.09
B (0.8675, 0.2500, 0.9800)  2 B 1.83, 2 Fe 2.00-2.02

Results
- Energy of formation from the pure elements: -0.441 eV per atom
- Crystal system: monoclinic